[1]
This record from the Alexandria database describes a crystal of TlGa2RhW relaxed with PBEsol. The functional is meta-GGA SCAN.

Results
As for the formation energy: 0.75 eV per atom. As for the space-group type: P4/mmm (123). The density of states at the Fermi level comes out at 3.46 states/eV per cell. The value obtained for the uncorrected energy is -204.75 eV for the cell shown.

Unit cell a=4.9674 b=4.9674 c=4.6467 alpha=90.00 beta=90.00 gamma=90.00
Last column: nearest neighbours and their distance in Å.
Sites, in units of the cell vectors:
1 Tl 0.0000 0.0000 0.0000  8 Ga 3.40, 4 Rh 3.51
2 Ga 0.0000 0.5000 0.5000  2 W 2.48
3 Ga 0.5000 0.0000 0.5000  2 W 2.48
4 Rh 0.5000 0.5000 0.0000  2 W 2.32
5 W 0.5000 0.5000 0.5000  2 Rh 2.32, 4 Ga 2.48



[2]
This record from the Alexandria database describes a crystal of TmGaRh2 relaxed with PBEsol. The functional is meta-GGA SCAN.

Results
As for the formation energy: -0.99 eV per atom. As for the space-group type: Fm-3m (225). The density of states at the Fermi level comes out at 0.42 states/eV per cell. The value obtained for the uncorrected energy is -139.69 eV for the cell shown.

Unit cell a=4.4498 b=4.4498 c=4.4498 alpha=60.00 beta=60.00 gamma=60.00
Last column: nearest neighbours and their distance in Å.
Sites, in units of the cell vectors:
1 Tm 0.0000 0.0000 0.0000  8 Rh 2.72
2 Ga 0.5000 0.5000 0.5000  8 Rh 2.72
3 Rh 0.2500 0.2500 0.2500  4 Tm 2.72, 4 Ga 2.72
4 Rh 0.7500 0.7500 0.7500  4 Ga 2.72, 4 Tm 2.72



[3]
This record from the Alexandria database describes a crystal of Tm2Ga9Rh3 relaxed with PBEsol. The functional is meta-GGA SCAN.

Results
As for the formation energy: -0.80 eV per atom. As for the space-group type: Cmcm (63). The density of states at the Fermi level comes out at 6.68 states/eV per cell. The value obtained for the uncorrected energy is -726.72 eV for the cell shown.

Unit cell a=7.4102 b=7.4102 c=9.3385 alpha=90.00 beta=90.00 gamma=60.26
Last column: nearest neighbours and their distance in Å.
Sites, in units of the cell vectors:
1 Tm 0.0023 0.6699 0.7500  11 Ga 2.95-3.09
2 Tm 0.3301 0.9977 0.7500  11 Ga 2.95-3.09
3 Tm 0.6699 0.0023 0.2500  11 Ga 2.95-3.09
4 Tm 0.9977 0.3301 0.2500  11 Ga 2.95-3.09
5 Ga 0.9997 0.3349 0.5804  3 Rh 2.52-2.59, 2 Ga 2.68-2.71
6 Ga 0.9997 0.3349 0.9196  3 Rh 2.52-2.59, 2 Ga 2.68-2.71
7 Ga 0.0003 0.6651 0.0804  3 Rh 2.52-2.59, 2 Ga 2.68-2.71
8 Ga 0.0003 0.6651 0.4196  3 Rh 2.52-2.59, 2 Ga 2.68-2.71
9 Ga 0.1270 0.8730 0.2500  2 Rh 2.52, 6 Ga 2.68-2.71
10 Ga 0.3326 0.6674 0.5673  3 Rh 2.55-2.61, 5 Ga 2.74-2.83
11 Ga 0.3326 0.6674 0.9327  3 Rh 2.55-2.61, 5 Ga 2.74-2.83
12 Ga 0.3349 0.9997 0.0804  3 Rh 2.52-2.59, 2 Ga 2.68-2.71
13 Ga 0.3349 0.9997 0.4196  3 Rh 2.52-2.59, 2 Ga 2.68-2.71
14 Ga 0.3385 0.4514 0.2500  2 Rh 2.52, 6 Ga 2.69-2.74
15 Ga 0.4514 0.3385 0.7500  2 Rh 2.52, 6 Ga 2.69-2.74
16 Ga 0.5486 0.6615 0.2500  2 Rh 2.52, 6 Ga 2.69-2.74
17 Ga 0.6615 0.5486 0.7500  2 Rh 2.52, 6 Ga 2.69-2.74
18 Ga 0.6651 0.0003 0.5804  3 Rh 2.52-2.59, 2 Ga 2.68-2.71
19 Ga 0.6651 0.0003 0.9196  3 Rh 2.52-2.59, 2 Ga 2.68-2.71
20 Ga 0.6674 0.3326 0.0673  3 Rh 2.55-2.61, 5 Ga 2.74-2.83
21 Ga 0.6674 0.3326 0.4327  3 Rh 2.55-2.61, 5 Ga 2.74-2.83
22 Ga 0.8730 0.1270 0.7500  2 Rh 2.52, 6 Ga 2.68-2.71
23 Rh 0.0000 0.0000 0.0000  8 Ga 2.52-2.59
24 Rh 0.0000 0.0000 0.5000  8 Ga 2.52-2.59
25 Rh 0.3283 0.3283 0.0000  8 Ga 2.52-2.61
26 Rh 0.3283 0.3283 0.5000  8 Ga 2.52-2.61
27 Rh 0.6717 0.6717 0.0000  8 Ga 2.52-2.61
28 Rh 0.6717 0.6717 0.5000  8 Ga 2.52-2.61



[4]
This record from the Alexandria database describes a crystal of UGa5Rh relaxed with PBEsol. The functional is meta-GGA SCAN.

Results
As for the formation energy: -0.46 eV per atom. As for the space-group type: P4/mmm (123). The density of states at the Fermi level comes out at 3.15 states/eV per cell. The value obtained for the uncorrected energy is -222.24 eV for the cell shown.

Unit cell a=4.2532 b=4.2532 c=6.6717 alpha=90.00 beta=90.00 gamma=90.00
Last column: nearest neighbours and their distance in Å.
Sites, in units of the cell vectors:
1 U 0.0000 0.0000 0.0000  12 Ga 2.91-3.01
2 Ga 0.0000 0.5000 0.2973  2 Rh 2.52, 1 Ga 2.71
3 Ga 0.0000 0.5000 0.7027  2 Rh 2.52, 1 Ga 2.71
4 Ga 0.5000 0.0000 0.2973  2 Rh 2.52, 1 Ga 2.71
5 Ga 0.5000 0.0000 0.7027  2 Rh 2.52, 1 Ga 2.71
6 Ga 0.5000 0.5000 0.0000  8 Ga 2.91, 4 U 3.01
7 Rh 0.0000 0.0000 0.5000  8 Ga 2.52



> Which formula does entry 3 have?

Tm2Ga9Rh3



> Among the records above, which one has the highest uncorrected energy?

TmGaRh2



> Which of these has the highest uncorrected energy?

TmGaRh2